! ZnCr2ReAu (GGA-PBE, relaxed); values from VASP
! Calculated total energy (eV/atom): -5.032
! Spin magnetization (μB per formula unit): 2.82
! DOS at the Fermi energy (states/eV per atom): 1.966
&SYSTEM
  ibrav = 0, nat = 5, ntyp = 4
/
ATOMIC_SPECIES
Cr 52.00 Cr.upf
Re 186.21 Re.upf
Au 196.97 Au.upf
Zn 65.41 Zn.upf
CELL_PARAMETERS angstrom
4.6353 0.0000 0.0000
0.0000 4.5280 0.0000
0.0000 0.0000 4.6353
ATOMIC_POSITIONS angstrom
Cr 2.3176 0.0000 0.0000
Re 2.3176 2.2640 2.3176
Cr 0.0000 0.0000 2.3176
Au 0.0000 0.0000 0.0000
Zn 0.0000 2.2640 0.0000